#i
This record from Alexandria describes MgCd2Hg after structural relaxation. The functional is GGA-PBEsol.

The density of states at the Fermi level is 0.312 states/eV per atom.

The structure in CIF format:
```
data_MgCd2Hg
_chemical_formula_sum 'Mg2 Cd4 Hg2'
_symmetry_space_group_name_H-M 'C 1 m 1'
_symmetry_Int_Tables_number 8
_cell_length_a 9.425
_cell_length_b 3.833
_cell_length_c 4.907
_cell_angle_alpha 90.00
_cell_angle_beta 105.34
_cell_angle_gamma 90.00
loop_
_symmetry_equiv_pos_as_xyz
'x,y,z'
'x,-y,z'
'x+1/2,y+1/2,z'
'x+1/2,-y+1/2,z'
loop_
_atom_site_label
_atom_site_type_symbol
_atom_site_fract_x
_atom_site_fract_y
_atom_site_fract_z
_atom_site_occupancy
Mg1 Mg 0.000 0.000 0.000 1
Cd1 Cd 0.003 0.500 0.504 1
Cd2 Cd 0.254 0.500 0.273 1
Hg1 Hg 0.256 0.000 0.782 1
```

---

#ii
This record from Alexandria describes MgCd2Hg after structural relaxation. The functional is GGA-PBEsol.

The density of states at the Fermi level is 0.334 states/eV per atom.

The structure in CIF format:
```
data_MgCd2Hg
_chemical_formula_sum 'Mg2 Cd4 Hg2'
_symmetry_space_group_name_H-M 'I 4/m m m'
_symmetry_Int_Tables_number 139
_symmetry_space_group_name_Hall '-I 4 2'
_cell_length_a 4.304
_cell_length_b 4.304
_cell_length_c 9.057
_cell_angle_alpha 90.00
_cell_angle_beta 90.00
_cell_angle_gamma 90.00
loop_
_atom_site_label
_atom_site_type_symbol
_atom_site_fract_x
_atom_site_fract_y
_atom_site_fract_z
_atom_site_occupancy
Mg1 Mg 0.000 0.000 0.000 1
Cd1 Cd 0.000 0.500 0.250 1
Hg1 Hg 0.000 0.000 0.500 1
```

---

#iii
This record from Alexandria describes MgCd2Hg after structural relaxation. The functional is GGA-PBEsol.

The density of states at the Fermi level is 0.395 states/eV per atom.

The structure in CIF format:
```
data_MgCd2Hg
_chemical_formula_sum 'Mg4 Cd8 Hg4'
_symmetry_space_group_name_H-M 'I -4 2 d'
_symmetry_Int_Tables_number 122
_symmetry_space_group_name_Hall 'I -4 2bw'
_cell_length_a 4.201
_cell_length_b 4.201
_cell_length_c 20.680
_cell_angle_alpha 90.00
_cell_angle_beta 90.00
_cell_angle_gamma 90.00
loop_
_atom_site_label
_atom_site_type_symbol
_atom_site_fract_x
_atom_site_fract_y
_atom_site_fract_z
_atom_site_occupancy
Mg1 Mg 0.000 0.000 0.000 1
Cd1 Cd 0.246 0.250 0.125 1
Hg1 Hg 0.000 0.000 0.500 1
```

---

#iv
This record from Alexandria describes MgCd2Hg after structural relaxation. The functional is GGA-PBEsol.

The density of states at the Fermi level is 0.311 states/eV per atom.

The structure in CIF format:
```
data_MgCd2Hg
_chemical_formula_sum 'Mg2 Cd4 Hg2'
_symmetry_space_group_name_H-M 'I -4 m 2'
_symmetry_Int_Tables_number 119
_symmetry_space_group_name_Hall 'I -4 -2'
_cell_length_a 4.361
_cell_length_b 4.361
_cell_length_c 8.754
_cell_angle_alpha 90.00
_cell_angle_beta 90.00
_cell_angle_gamma 90.00
loop_
_atom_site_label
_atom_site_type_symbol
_atom_site_fract_x
_atom_site_fract_y
_atom_site_fract_z
_atom_site_occupancy
Mg1 Mg 0.000 0.000 0.000 1
Cd1 Cd 0.000 0.000 0.500 1
Cd2 Cd 0.000 0.500 0.250 1
Hg1 Hg 0.000 0.500 0.750 1
```

---

Result of the stability comparison: #iv is the most stable of them.

---

#i
This record from Alexandria describes MgCd2Hg after structural relaxation. The functional is GGA-PBEsol.

The density of states at the Fermi level is 0.345 states/eV per atom.

The structure in CIF format:
```
data_MgCd2Hg
_chemical_formula_sum 'Mg1 Cd2 Hg1'
_symmetry_space_group_name_H-M 'P 1 m 1'
_symmetry_Int_Tables_number 6
_cell_length_a 3.192
_cell_length_b 4.566
_cell_length_c 6.040
_cell_angle_alpha 90.00
_cell_angle_beta 105.20
_cell_angle_gamma 90.00
loop_
_symmetry_equiv_pos_as_xyz
'x,y,z'
'x,-y,z'
loop_
_atom_site_label
_atom_site_type_symbol
_atom_site_fract_x
_atom_site_fract_y
_atom_site_fract_z
_atom_site_occupancy
Mg1 Mg 0.000 0.000 0.000 1
Cd1 Cd 0.261 0.000 0.516 1
Cd2 Cd 0.667 0.500 0.325 1
Hg1 Hg 0.414 0.500 0.826 1
```

---

#ii
This record from Alexandria describes MgCd2Hg after structural relaxation. The functional is GGA-PBEsol.

The density of states at the Fermi level is 0.364 states/eV per atom.

The structure in CIF format:
```
data_MgCd2Hg
_chemical_formula_sum 'Mg1 Cd2 Hg1'
_symmetry_space_group_name_H-M 'P 4/m m m'
_symmetry_Int_Tables_number 123
_symmetry_space_group_name_Hall '-P 4 2'
_cell_length_a 3.125
_cell_length_b 3.125
_cell_length_c 8.681
_cell_angle_alpha 90.00
_cell_angle_beta 90.00
_cell_angle_gamma 90.00
loop_
_atom_site_label
_atom_site_type_symbol
_atom_site_fract_x
_atom_site_fract_y
_atom_site_fract_z
_atom_site_occupancy
Mg1 Mg 0.000 0.000 0.000 1
Cd1 Cd 0.500 0.500 0.245 1
Hg1 Hg 0.000 0.000 0.500 1
```

---

#iii
This record from Alexandria describes MgCd2Hg after structural relaxation. The functional is GGA-PBEsol.

The density of states at the Fermi level is 0.360 states/eV per atom.

The structure in CIF format:
```
data_MgCd2Hg
_chemical_formula_sum 'Mg3 Cd6 Hg3'
_symmetry_space_group_name_H-M 'R -3 m'
_symmetry_Int_Tables_number 166
_symmetry_space_group_name_Hall '-R 3 2"'
_cell_length_a 3.2492
_cell_length_b 3.2492
_cell_length_c 28.3395
_cell_angle_alpha 90.00
_cell_angle_beta 90.00
_cell_angle_gamma 120.00
loop_
_atom_site_label
_atom_site_type_symbol
_atom_site_fract_x
_atom_site_fract_y
_atom_site_fract_z
_atom_site_occupancy
Mg1 Mg 0.0000 0.0000 0.0000 1
Cd1 Cd 0.0000 0.0000 0.2505 1
Hg1 Hg 0.0000 0.0000 0.5000 1
```

---

Result of the stability comparison: #i is the most stable of them.

---

#i
This record from Alexandria describes Mg2CdHg after structural relaxation. The functional is GGA-PBEsol.

The density of states at the Fermi level is 0.309 states/eV per atom.

The structure in CIF format:
```
data_Mg2CdHg
_chemical_formula_sum 'Mg4 Cd2 Hg2'
_symmetry_space_group_name_H-M 'C 1 m 1'
_symmetry_Int_Tables_number 8
_cell_length_a 10.623
_cell_length_b 3.338
_cell_length_c 4.983
_cell_angle_alpha 90.00
_cell_angle_beta 108.70
_cell_angle_gamma 90.00
loop_
_symmetry_equiv_pos_as_xyz
'x,y,z'
'x,-y,z'
'x+1/2,y+1/2,z'
'x+1/2,-y+1/2,z'
loop_
_atom_site_label
_atom_site_type_symbol
_atom_site_fract_x
_atom_site_fract_y
_atom_site_fract_z
_atom_site_occupancy
Mg1 Mg 0.000 0.000 0.000 1
Mg2 Mg 0.232 0.000 0.638 1
Cd1 Cd 0.249 0.500 0.145 1
Hg1 Hg 0.489 0.000 0.503 1
```

---

#ii
This record from Alexandria describes Mg2CdHg after structural relaxation. The functional is GGA-PBEsol.

The density of states at the Fermi level is 0.266 states/eV per atom.

The structure in CIF format:
```
data_Mg2CdHg
_chemical_formula_sum 'Mg2 Cd1 Hg1'
_symmetry_space_group_name_H-M 'P 4/m m m'
_symmetry_Int_Tables_number 123
_symmetry_space_group_name_Hall '-P 4 2'
_cell_length_a 4.811
_cell_length_b 4.811
_cell_length_c 3.527
_cell_angle_alpha 90.00
_cell_angle_beta 90.00
_cell_angle_gamma 90.00
loop_
_atom_site_label
_atom_site_type_symbol
_atom_site_fract_x
_atom_site_fract_y
_atom_site_fract_z
_atom_site_occupancy
Mg1 Mg 0.000 0.500 0.000 1
Cd1 Cd 0.000 0.000 0.500 1
Hg1 Hg 0.500 0.500 0.500 1
```

---

#iii
This record from Alexandria describes Mg2CdHg after structural relaxation. The functional is GGA-PBEsol.

The density of states at the Fermi level is 0.399 states/eV per atom.

The structure in CIF format:
```
data_Mg2CdHg
_chemical_formula_sum 'Mg4 Cd2 Hg2'
_symmetry_space_group_name_H-M 'C 1 2/m 1'
_symmetry_Int_Tables_number 12
_cell_length_a 9.424
_cell_length_b 3.239
_cell_length_c 5.712
_cell_angle_alpha 90.00
_cell_angle_beta 101.31
_cell_angle_gamma 90.00
loop_
_symmetry_equiv_pos_as_xyz
'x,y,z'
'-x,-y,-z'
'-x,y,-z'
'x,-y,z'
'x+1/2,y+1/2,z'
'-x+1/2,-y+1/2,-z'
'-x+1/2,y+1/2,-z'
'x+1/2,-y+1/2,z'
loop_
_atom_site_label
_atom_site_type_symbol
_atom_site_fract_x
_atom_site_fract_y
_atom_site_fract_z
_atom_site_occupancy
Mg1 Mg 0.248 0.000 0.246 1
Cd1 Cd 0.000 0.000 0.500 1
Hg1 Hg 0.000 0.500 0.000 1
```

---

Result of the stability comparison: #ii is the most stable of them.

---

#i
This record from Alexandria describes Mg2CdHg after structural relaxation. The functional is GGA-PBEsol.

The density of states at the Fermi level is 0.325 states/eV per atom.

The structure in CIF format:
```
data_Mg2CdHg
_chemical_formula_sum 'Mg4 Cd2 Hg2'
_symmetry_space_group_name_H-M 'I -4 m 2'
_symmetry_Int_Tables_number 119
_symmetry_space_group_name_Hall 'I -4 -2'
_cell_length_a 4.283
_cell_length_b 4.283
_cell_length_c 9.070
_cell_angle_alpha 90.00
_cell_angle_beta 90.00
_cell_angle_gamma 90.00
loop_
_atom_site_label
_atom_site_type_symbol
_atom_site_fract_x
_atom_site_fract_y
_atom_site_fract_z
_atom_site_occupancy
Mg1 Mg 0.000 0.000 0.000 1
Mg2 Mg 0.000 0.500 0.250 1
Cd1 Cd 0.000 0.000 0.500 1
Hg1 Hg 0.000 0.500 0.750 1
```

---

#ii
This record from Alexandria describes Mg2CdHg after structural relaxation. The functional is GGA-PBEsol.

The density of states at the Fermi level is 0.326 states/eV per atom.

The structure in CIF format:
```
data_Mg2CdHg
_chemical_formula_sum 'Mg8 Cd4 Hg4'
_symmetry_space_group_name_H-M 'F m -3 m'
_symmetry_Int_Tables_number 225
_symmetry_space_group_name_Hall '-F 4 2 3'
_cell_length_a 6.886
_cell_length_b 6.886
_cell_length_c 6.886
_cell_angle_alpha 90.00
_cell_angle_beta 90.00
_cell_angle_gamma 90.00
loop_
_atom_site_label
_atom_site_type_symbol
_atom_site_fract_x
_atom_site_fract_y
_atom_site_fract_z
_atom_site_occupancy
Mg1 Mg 0.250 0.250 0.250 1
Cd1 Cd 0.000 0.000 0.000 1
Hg1 Hg 0.000 0.000 0.500 1
```

---

#iii
This record from Alexandria describes Mg2CdHg after structural relaxation. The functional is GGA-PBEsol.

The density of states at the Fermi level is 0.356 states/eV per atom.

The structure in CIF format:
```
data_Mg2CdHg
_chemical_formula_sum 'Mg2 Cd1 Hg1'
_symmetry_space_group_name_H-M 'P m m 2'
_symmetry_Int_Tables_number 25
_cell_length_a 3.432
_cell_length_b 4.172
_cell_length_c 5.901
_cell_angle_alpha 90.00
_cell_angle_beta 90.00
_cell_angle_gamma 90.00
loop_
_symmetry_equiv_pos_as_xyz
'x,y,z'
'-x,-y,z'
'-x,y,z'
'x,-y,z'
loop_
_atom_site_label
_atom_site_type_symbol
_atom_site_fract_x
_atom_site_fract_y
_atom_site_fract_z
_atom_site_occupancy
Mg1 Mg 0.000 0.000 0.000 1
Mg2 Mg 0.500 0.500 0.286 1
Cd1 Cd 0.000 0.000 0.504 1
Hg1 Hg 0.500 0.500 0.789 1
```

---

#iv
This record from Alexandria describes Mg2CdHg after structural relaxation. The functional is GGA-PBEsol.

The density of states at the Fermi level is 0.383 states/eV per atom.

The structure in CIF format:
```
data_Mg2CdHg
_chemical_formula_sum 'Mg2 Cd1 Hg1'
_symmetry_space_group_name_H-M 'P 4 m m'
_symmetry_Int_Tables_number 99
_cell_length_a 3.214
_cell_length_b 3.214
_cell_length_c 8.290
_cell_angle_alpha 90.00
_cell_angle_beta 90.00
_cell_angle_gamma 90.00
loop_
_symmetry_equiv_pos_as_xyz
'x,y,z'
'-y,x,z'
'-x,-y,z'
'y,-x,z'
'-x,y,z'
'y,x,z'
'x,-y,z'
'-y,-x,z'
loop_
_atom_site_label
_atom_site_type_symbol
_atom_site_fract_x
_atom_site_fract_y
_atom_site_fract_z
_atom_site_occupancy
Mg1 Mg 0.000 0.000 0.000 1
Mg2 Mg 0.500 0.500 0.272 1
Cd1 Cd 0.000 0.000 0.515 1
Hg1 Hg 0.500 0.500 0.770 1
```

---

Result of the stability comparison: #ii is the most stable of them.

---

#i
This record from Alexandria describes Mg2CdHg after structural relaxation. The functional is GGA-PBEsol.

The density of states at the Fermi level is 0.300 states/eV per atom.

The structure in CIF format:
```
data_Mg2CdHg
_chemical_formula_sum 'Mg4 Cd2 Hg2'
_symmetry_space_group_name_H-M 'I m m 2'
_symmetry_Int_Tables_number 44
_cell_length_a 3.852
_cell_length_b 4.556
_cell_length_c 9.538
_cell_angle_alpha 90.00
_cell_angle_beta 90.00
_cell_angle_gamma 90.00
loop_
_symmetry_equiv_pos_as_xyz
'x,y,z'
'-x,-y,z'
'-x,y,z'
'x,-y,z'
'x+1/2,y+1/2,z+1/2'
'-x+1/2,-y+1/2,z+1/2'
'-x+1/2,y+1/2,z+1/2'
'x+1/2,-y+1/2,z+1/2'
loop_
_atom_site_label
_atom_site_type_symbol
_atom_site_fract_x
_atom_site_fract_y
_atom_site_fract_z
_atom_site_occupancy
Mg1 Mg 0.000 0.000 0.000 1
Mg2 Mg 0.000 0.500 0.239 1
Cd1 Cd 0.000 0.500 0.754 1
Hg1 Hg 0.000 0.000 0.498 1
```

---

#ii
This record from Alexandria describes Mg2CdHg after structural relaxation. The functional is GGA-PBEsol.

The density of states at the Fermi level is 0.349 states/eV per atom.

The structure in CIF format:
```
data_Mg2CdHg
_chemical_formula_sum 'Mg4 Cd2 Hg2'
_symmetry_space_group_name_H-M 'C m m m'
_symmetry_Int_Tables_number 65
_symmetry_space_group_name_Hall '-C 2 2'
_cell_length_a 6.689
_cell_length_b 7.138
_cell_length_c 3.425
_cell_angle_alpha 90.00
_cell_angle_beta 90.00
_cell_angle_gamma 90.00
loop_
_atom_site_label
_atom_site_type_symbol
_atom_site_fract_x
_atom_site_fract_y
_atom_site_fract_z
_atom_site_occupancy
Mg1 Mg 0.250 0.250 0.000 1
Cd1 Cd 0.000 0.000 0.500 1
Hg1 Hg 0.000 0.500 0.500 1
```

---

Result of the stability comparison: #ii is the most stable of them.

---

#i
This record from Alexandria describes CdHgOs after structural relaxation. The functional is GGA-PBEsol.

The density of states at the Fermi level is 0.946 states/eV per atom.

The structure in CIF format:
```
data_CdHgOs
_chemical_formula_sum 'Cd1 Hg1 Os1'
_symmetry_space_group_name_H-M 'P 3 m 1'
_symmetry_Int_Tables_number 156
_cell_length_a 2.9040
_cell_length_b 2.9040
_cell_length_c 7.2074
_cell_angle_alpha 90.00
_cell_angle_beta 90.00
_cell_angle_gamma 120.00
loop_
_symmetry_equiv_pos_as_xyz
'x,y,z'
'-y,x-y,z'
'-x+y,-x,z'
'-y,-x,z'
'-x+y,y,z'
'x,x-y,z'
loop_
_atom_site_label
_atom_site_type_symbol
_atom_site_fract_x
_atom_site_fract_y
_atom_site_fract_z
_atom_site_occupancy
Cd1 Cd 0.0000 0.0000 0.0000 1
Hg1 Hg 0.3333 0.6667 0.6409 1
Os1 Os 0.6667 0.3333 0.3154 1
```

---

#ii
This record from Alexandria describes CdHgOs after structural relaxation. The functional is GGA-PBEsol.

The density of states at the Fermi level is 1.097 states/eV per atom.

The structure in CIF format:
```
data_CdHgOs
_chemical_formula_sum 'Cd2 Hg2 Os2'
_symmetry_space_group_name_H-M 'I 4 m m'
_symmetry_Int_Tables_number 107
_symmetry_space_group_name_Hall 'I 4 -2'
_cell_length_a 2.878
_cell_length_b 2.878
_cell_length_c 12.858
_cell_angle_alpha 90.00
_cell_angle_beta 90.00
_cell_angle_gamma 90.00
loop_
_atom_site_label
_atom_site_type_symbol
_atom_site_fract_x
_atom_site_fract_y
_atom_site_fract_z
_atom_site_occupancy
Cd1 Cd 0.000 0.000 0.000 1
Hg1 Hg 0.000 0.000 0.686 1
Os1 Os 0.000 0.000 0.345 1
```

---

#iii
This record from Alexandria describes CdHgOs after structural relaxation. The functional is GGA-PBEsol.

The density of states at the Fermi level is 0.850 states/eV per atom.

The structure in CIF format:
```
data_CdHgOs
_chemical_formula_sum 'Cd4 Hg4 Os4'
_symmetry_space_group_name_H-M 'F m m 2'
_symmetry_Int_Tables_number 42
_symmetry_space_group_name_Hall 'F 2 -2'
_cell_length_a 2.896
_cell_length_b 4.988
_cell_length_c 14.702
_cell_angle_alpha 90.00
_cell_angle_beta 90.00
_cell_angle_gamma 90.00
loop_
_atom_site_label
_atom_site_type_symbol
_atom_site_fract_x
_atom_site_fract_y
_atom_site_fract_z
_atom_site_occupancy
Cd1 Cd 0.000 0.000 0.000 1
Hg1 Hg 0.000 0.000 0.677 1
Os1 Os 0.000 0.000 0.341 1
```

---

Result of the stability comparison: #i is the most stable of them.